Model 1:
First-principles (GGA-PBEsol) data for ReOsBr2 after structural relaxation, as listed in Alexandria.

```
data_ReOsBr2
_cell_length_a 3.019
_cell_length_b 3.059
_cell_length_c 8.608
_cell_angle_alpha 90.12
_cell_angle_beta 90.00
_cell_angle_gamma 90.00
_symmetry_space_group_name_H-M 'P 1'
_symmetry_Int_Tables_number 1
_symmetry_space_group_name_Hall 'P 1'
loop_
_atom_site_label
_atom_site_type_symbol
_atom_site_fract_x
_atom_site_fract_y
_atom_site_fract_z
_atom_site_occupancy
Re1 Re 0.500 0.125 0.711 1
Os1 Os 0.000 0.624 0.543 1
Br1 Br 0.000 0.127 0.946 1
Br2 Br 0.500 0.623 0.301 1
```

N(E_F), states/eV per cell: 3.16
Space group: No. 6

***

Model 2:
First-principles (GGA-PBEsol) data for ReOsBr2 after structural relaxation, as listed in Alexandria.

```
data_ReOsBr2
_cell_length_a 3.012
_cell_length_b 4.456
_cell_length_c 5.030
_cell_angle_alpha 90.00
_cell_angle_beta 93.12
_cell_angle_gamma 90.00
_symmetry_space_group_name_H-M 'P 1'
_symmetry_Int_Tables_number 1
_symmetry_space_group_name_Hall 'P 1'
loop_
_atom_site_label
_atom_site_type_symbol
_atom_site_fract_x
_atom_site_fract_y
_atom_site_fract_z
_atom_site_occupancy
Re1 Re 0.000 0.500 0.000 1
Os1 Os 0.500 0.500 0.500 1
Br1 Br 0.761 0.000 0.749 1
Br2 Br 0.239 0.000 0.251 1
```

N(E_F), states/eV per cell: 5.95
Space group: No. 10

***

Name the least stable of them. model 2.

***

Model 1:
First-principles (GGA-PBEsol) data for ReOs2Br after structural relaxation, as listed in Alexandria.

```
data_ReOs2Br
_cell_length_a 2.866
_cell_length_b 4.538
_cell_length_c 5.287
_cell_angle_alpha 115.41
_cell_angle_beta 105.73
_cell_angle_gamma 90.00
_symmetry_space_group_name_H-M 'P 1'
_symmetry_Int_Tables_number 1
_symmetry_space_group_name_Hall 'P 1'
loop_
_atom_site_label
_atom_site_type_symbol
_atom_site_fract_x
_atom_site_fract_y
_atom_site_fract_z
_atom_site_occupancy
Re1 Re 0.487 0.487 0.973 1
Os1 Os 0.015 0.015 0.030 1
Os2 Os 0.245 0.745 0.491 1
Br1 Br 0.753 0.253 0.506 1
```

N(E_F), states/eV per cell: 3.34
Space group: No. 44

***

Model 2:
First-principles (GGA-PBEsol) data for ReOs2Br after structural relaxation, as listed in Alexandria.

```
data_ReOs2Br
_cell_length_a 2.828
_cell_length_b 4.424
_cell_length_c 5.121
_cell_angle_alpha 92.96
_cell_angle_beta 106.03
_cell_angle_gamma 90.00
_symmetry_space_group_name_H-M 'P 1'
_symmetry_Int_Tables_number 1
_symmetry_space_group_name_Hall 'P 1'
loop_
_atom_site_label
_atom_site_type_symbol
_atom_site_fract_x
_atom_site_fract_y
_atom_site_fract_z
_atom_site_occupancy
Re1 Re 0.532 0.519 0.064 1
Os1 Os 0.970 0.978 0.940 1
Os2 Os 0.246 0.756 0.492 1
Br1 Br 0.752 0.248 0.504 1
```

N(E_F), states/eV per cell: 2.87
Space group: No. 8

***

Name the least stable of them. model 1.

***

Model 1:
First-principles (GGA-PBEsol) data for ReOs2Br after structural relaxation, as listed in Alexandria.

```
data_ReOs2Br
_cell_length_a 2.743
_cell_length_b 2.743
_cell_length_c 9.796
_cell_angle_alpha 90.00
_cell_angle_beta 90.00
_cell_angle_gamma 118.95
_symmetry_space_group_name_H-M 'P 1'
_symmetry_Int_Tables_number 1
_symmetry_space_group_name_Hall 'P 1'
loop_
_atom_site_label
_atom_site_type_symbol
_atom_site_fract_x
_atom_site_fract_y
_atom_site_fract_z
_atom_site_occupancy
Re1 Re 0.500 0.500 0.500 1
Os1 Os 0.000 0.000 0.276 1
Os2 Os 0.000 0.000 0.724 1
Br1 Br 0.500 0.500 0.000 1
```

N(E_F), states/eV per cell: 3.98
Space group: No. 65

***

Model 2:
First-principles (GGA-PBEsol) data for ReOs2Br after structural relaxation, as listed in Alexandria.

```
data_ReOs2Br
_cell_length_a 2.762
_cell_length_b 2.766
_cell_length_c 9.621
_cell_angle_alpha 90.00
_cell_angle_beta 90.00
_cell_angle_gamma 119.95
_symmetry_space_group_name_H-M 'P 1'
_symmetry_Int_Tables_number 1
_symmetry_space_group_name_Hall 'P 1'
loop_
_atom_site_label
_atom_site_type_symbol
_atom_site_fract_x
_atom_site_fract_y
_atom_site_fract_z
_atom_site_occupancy
Re1 Re 0.000 0.000 0.480 1
Os1 Os 0.000 0.000 0.020 1
Os2 Os 0.500 0.000 0.250 1
Br1 Br 0.500 0.000 0.750 1
```

N(E_F), states/eV per cell: 5.24
Space group: No. 35

***

Name the least stable of them. model 2.

***

Model 1:
First-principles (GGA-PBEsol) data for OsRhBr2 after structural relaxation, as listed in Alexandria.

```
data_OsRhBr2
_cell_length_a 4.492
_cell_length_b 4.492
_cell_length_c 4.492
_cell_angle_alpha 60.00
_cell_angle_beta 60.00
_cell_angle_gamma 60.00
_symmetry_space_group_name_H-M 'P 1'
_symmetry_Int_Tables_number 1
_symmetry_space_group_name_Hall 'P 1'
loop_
_atom_site_label
_atom_site_type_symbol
_atom_site_fract_x
_atom_site_fract_y
_atom_site_fract_z
_atom_site_occupancy
Rh1 Rh 0.500 0.500 0.500 1
Os1 Os 0.000 0.000 0.000 1
Br1 Br 0.750 0.750 0.750 1
Br2 Br 0.250 0.250 0.250 1
```

N(E_F), states/eV per cell: 5.81
Space group: No. 225

***

Model 2:
First-principles (GGA-PBEsol) data for OsRhBr2 after structural relaxation, as listed in Alexandria.

```
data_OsRhBr2
_cell_length_a 2.887
_cell_length_b 4.326
_cell_length_c 5.436
_cell_angle_alpha 90.00
_cell_angle_beta 90.00
_cell_angle_gamma 90.00
_symmetry_space_group_name_H-M 'P 1'
_symmetry_Int_Tables_number 1
_symmetry_space_group_name_Hall 'P 1'
loop_
_atom_site_label
_atom_site_type_symbol
_atom_site_fract_x
_atom_site_fract_y
_atom_site_fract_z
_atom_site_occupancy
Rh1 Rh 0.000 0.500 0.500 1
Os1 Os 0.500 0.500 0.000 1
Br1 Br 0.000 0.000 0.000 1
Br2 Br 0.500 0.000 0.500 1
```

N(E_F), states/eV per cell: 3.75
Space group: No. 47

***

Name the least stable of them. model 1.